## Ba3PmHo2Te6 (PBE)

Data for an optimized crystal structure of Ba3PmHo2Te6.

a b c (Å): 7.9528 7.9528 8.2654
angles (deg): 99.25 99.25 119.91
Positions (direct):
Ba (0.1637, 0.8363, 0.5000)
Ba (0.5000, 0.5000, 0.5000)
Ba (0.8363, 0.1637, 0.5000)
Te (0.0726, 0.4130, 0.2174)
Te (0.2693, 0.2693, 0.7857)
Te (0.7307, 0.7307, 0.2143)
Te (0.9274, 0.5870, 0.7826)
Te (0.5870, 0.9274, 0.7826)
Te (0.4130, 0.0726, 0.2174)
Pm (0.0000, 0.0000, 0.0000)
Ho (0.3323, 0.6677, 0.0000)
Ho (0.6677, 0.3323, 0.0000)

Computed properties:
For the volume, the calculation gives 429 Å³/cell. Its final energy is -4.736 eV per atom. Its magnetization is 0.00 μB per atom. The value obtained for the energy relative to the elements, uncorrected is -1.525 eV per atom.